# Hg2AsAu PBE-GGA relaxed
data_Hg2AsAu
_chemical_formula_sum 'Hg2 As1 Au1'
_cell_length_a 3.178
_cell_length_b 3.178
_cell_length_c 8.900
_cell_angle_alpha 90.00
_cell_angle_beta 90.00
_cell_angle_gamma 90.00
_symmetry_space_group_name_H-M 'P 1'
_symmetry_Int_Tables_number 1
loop_
_symmetry_equiv_pos_as_xyz
'x,y,z'
loop_
_atom_site_label
_atom_site_type_symbol
_atom_site_fract_x
_atom_site_fract_y
_atom_site_fract_z
_atom_site_occupancy
Hg1 Hg 0.000 0.000 0.975 1
Hg2 Hg 0.500 0.500 0.259 1
As1 As 0.000 0.000 0.544 1
Au1 Au 0.500 0.500 0.723 1
# Space-group type = P4mm
# Energy relative to the lowest polymorph listed for this composition = 87 meV/atom
# Calculated total energy = -1.919 eV per atom
# Total moment = 0.00 μB/f.u.
# Calculated formation energy = 0.854 eV per formula unit